Record 1
VASP calculation (PBE) on a relaxed structure of NaCe3Sn12.

Cell lengths 4.706, 4.706, 19.038 Å; angles 90.00, 90.00, 90.00 degrees
Space group P4/mmm (No. 123)
One atom of each set of equivalent atoms:
Na: 0.000 0.000 0.000 (multiplicity 1)
Ce: 0.000 0.000 0.255 (multiplicity 2)
Ce: 0.000 0.000 0.500 (multiplicity 1)
Sn: 0.000 0.500 0.124 (multiplicity 4)
Sn: 0.000 0.500 0.376 (multiplicity 4)
Sn: 0.500 0.500 0.000 (multiplicity 1)
Sn: 0.500 0.500 0.250 (multiplicity 2)
Sn: 0.500 0.500 0.500 (multiplicity 1)

Values from the calculation:
ΔE_f in eV/atom: -0.423
Crystal system: tetragonal
Density of states at the Fermi level in states/eV per atom: 0.970

Record 2
VASP calculation (PBE) on a relaxed structure of MnTcAs2Se.

Cell lengths 4.644, 4.644, 5.556 Å; angles 90.00, 90.00, 90.00 degrees
Space group P4/mmm (No. 123)
One atom of each set of equivalent atoms:
Mn: 0.000 0.000 0.000 (multiplicity 1)
Tc: 0.500 0.500 0.500 (multiplicity 1)
As: 0.000 0.500 0.500 (multiplicity 2)
Se: 0.500 0.500 0.000 (multiplicity 1)

Values from the calculation:
Crystal system: tetragonal
Energy above the lowest structure with this stoichiometry in meV/atom: 0
Density of states at the Fermi level in states/eV per atom: 0.810

Record 3
VASP calculation (PBE) on a relaxed structure of TcPt8Rh6.

Cell lengths 7.0129, 7.0129, 16.3689 Å; angles 90.00, 90.00, 120.00 degrees
Space group R-3 (No. 148, hexagonal axes)
One atom of each set of equivalent atoms:
Tc: 0.0000 0.0000 0.0000 (multiplicity 3)
Pt: 0.0000 0.0000 0.4173 (multiplicity 6)
Pt: 0.0501 0.7993 0.1342 (multiplicity 18)
Rh: 0.0198 0.2676 0.7035 (multiplicity 18)

Values from the calculation:
ΔE_f in eV/atom: 0.079
Crystal system: trigonal
Energy above the lowest structure with this stoichiometry in meV/atom: 0
Density of states at the Fermi level in states/eV per atom: 1.705

Record 4
VASP calculation (PBE) on a relaxed structure of EuErMg4.

Cell lengths 8.664, 8.664, 8.664 Å; angles 90.00, 90.00, 90.00 degrees
Space group F-43m (No. 216)
One atom of each set of equivalent atoms:
Eu: 0.000 0.000 0.000 (multiplicity 4)
Er: 0.250 0.250 0.250 (multiplicity 4)
Mg: 0.124 0.124 0.624 (multiplicity 16)

Values from the calculation:
ΔE_f in eV/atom: -0.067
Crystal system: cubic
Density of states at the Fermi level in states/eV per atom: 0.871

Record 5
VASP calculation (PBE) on a relaxed structure of HfNF2.

Cell lengths 5.393, 5.393, 5.393 Å; angles 90.00, 90.00, 90.00 degrees
Space group Fm-3m (No. 225)
One atom of each set of equivalent atoms:
Hf: 0.000 0.000 0.000 (multiplicity 4)
N: 0.000 0.000 0.500 (multiplicity 4)
F: 0.250 0.250 0.250 (multiplicity 8)

Values from the calculation:
Crystal system: cubic
Energy above the lowest structure with this stoichiometry in meV/atom: 0
Density of states at the Fermi level in states/eV per atom: 0.481

Record 6
VASP calculation (PBE) on a relaxed structure of ZnIn2Ag.

Cell lengths 6.475, 8.274, 3.172 Å; angles 90.00, 90.00, 90.00 degrees
Space group Cmmm (No. 65)
One atom of each set of equivalent atoms:
Zn: 0.000 0.000 0.000 (multiplicity 2)
In: 0.250 0.250 0.500 (multiplicity 4)
Ag: 0.000 0.500 0.000 (multiplicity 2)

Values from the calculation:
ΔE_f in eV/atom: 0.084
Crystal system: orthorhombic
Density of states at the Fermi level in states/eV per atom: 0.419

Record 7
VASP calculation (PBE) on a relaxed structure of Sr3Y3ZnSe8.

Cell lengths 8.3176, 8.3176, 21.3204 Å; angles 90.00, 90.00, 120.00 degrees
Space group R-3m (No. 166, hexagonal axes)
One atom of each set of equivalent atoms:
Sr: 0.0000 0.5000 0.0000 (multiplicity 9)
Y: 0.0000 0.5000 0.5000 (multiplicity 9)
Zn: 0.0000 0.0000 0.5000 (multiplicity 3)
Se: 0.0000 0.0000 0.2437 (multiplicity 6)
Se: 0.0095 0.5047 0.2393 (multiplicity 18)

Values from the calculation:
Crystal system: trigonal
DFT total energy in eV per cell: -237.97
Density of states at the Fermi level in states/eV per atom: 0.256

Record 8
VASP calculation (PBE) on a relaxed structure of Y2RhCl.

Cell lengths 6.277, 6.277, 12.535 Å; angles 90.00, 90.00, 90.00 degrees
Space group I-42d (No. 122)
One atom of each set of equivalent atoms:
Y: 0.224 0.250 0.125 (multiplicity 8)
Rh: 0.000 0.000 0.000 (multiplicity 4)
Cl: 0.000 0.000 0.500 (multiplicity 4)

Values from the calculation:
Crystal system: tetragonal
Energy above the lowest structure with this stoichiometry in meV/atom: 475
Density of states at the Fermi level in states/eV per atom: 0.615

Record 9
VASP calculation (PBE) on a relaxed structure of PrDyScIn.

Cell lengths 7.673, 7.673, 7.673 Å; angles 90.00, 90.00, 90.00 degrees
Space group F-43m (No. 216)
One atom of each set of equivalent atoms:
Pr: 0.000 0.000 0.000 (multiplicity 4)
Dy: 0.000 0.000 0.500 (multiplicity 4)
Sc: 0.250 0.250 0.250 (multiplicity 4)
In: 0.250 0.250 0.750 (multiplicity 4)

Values from the calculation:
ΔE_f in eV/atom: -0.162
Crystal system: cubic
Energy above the lowest structure with this stoichiometry in meV/atom: 0
Density of states at the Fermi level in states/eV per atom: 1.224

Record 10
VASP calculation (PBE) on a relaxed structure of TaSi.

Cell lengths 10.782, 2.898, 6.362 Å; angles 90.00, 104.87, 90.00 degrees
Space group Cm (No. 8)
One atom of each set of equivalent atoms:
Ta: 0.000 0.000 0.000 (multiplicity 2)
Ta: 0.069 0.000 0.571 (multiplicity 2)
Ta: 0.236 0.500 0.955 (multiplicity 2)
Si: 0.168 0.500 0.312 (multiplicity 2)
Si: 0.345 0.000 0.663 (multiplicity 2)
Si: 0.390 0.000 0.273 (multiplicity 2)

Values from the calculation:
Crystal system: monoclinic
DFT total energy in eV per cell: -104.50
Density of states at the Fermi level in states/eV per atom: 0.640

Record 11
VASP calculation (PBE) on a relaxed structure of La4TbNd2.

Cell lengths 9.913, 5.959, 9.927 Å; angles 90.00, 119.93, 90.00 degrees
Space group Pm (No. 6)
One atom of each set of equivalent atoms:
La: 0.000 0.000 0.000 (multiplicity 1)
La: 0.048 0.500 0.807 (multiplicity 1)
La: 0.145 0.000 0.430 (multiplicity 1)
La: 0.291 0.000 0.860 (multiplicity 1)
La: 0.480 0.500 0.098 (multiplicity 1)
La: 0.573 0.000 0.716 (multiplicity 1)
La: 0.624 0.500 0.526 (multiplicity 1)
La: 0.900 0.500 0.378 (multiplicity 1)
Tb: 0.762 0.500 0.953 (multiplicity 1)
Tb: 0.857 0.000 0.571 (multiplicity 1)
Nd: 0.191 0.500 0.238 (multiplicity 1)
Nd: 0.334 0.500 0.666 (multiplicity 1)
Nd: 0.433 0.000 0.288 (multiplicity 1)
Nd: 0.719 0.000 0.144 (multiplicity 1)

Values from the calculation:
ΔE_f in eV/atom: 0.036
Crystal system: monoclinic
Energy above the lowest structure with this stoichiometry in meV/atom: 0
Density of states at the Fermi level in states/eV per atom: 1.788

Record 12
VASP calculation (PBE) on a relaxed structure of Y2SnC.

Cell lengths 7.249, 7.249, 7.289 Å; angles 90.00, 90.00, 90.00 degrees
Space group I-42d (No. 122)
One atom of each set of equivalent atoms:
Y: 0.166 0.750 0.125 (multiplicity 8)
Sn: 0.000 0.000 0.500 (multiplicity 4)
C: 0.000 0.000 0.000 (multiplicity 4)

Values from the calculation:
ΔE_f in eV/atom: -0.171
Crystal system: tetragonal
Density of states at the Fermi level in states/eV per atom: 0.407

Record 13
VASP calculation (PBE) on a relaxed structure of BeAg2Au.

Cell lengths 5.447, 9.559, 2.805 Å; angles 90.00, 117.77, 90.00 degrees
Space group C2/m (No. 12)
One atom of each set of equivalent atoms:
Be: 0.000 0.000 0.000 (multiplicity 2)
Ag: 0.250 0.250 0.500 (multiplicity 4)
Au: 0.000 0.500 0.000 (multiplicity 2)

Values from the calculation:
ΔE_f in eV/atom: 0.193
Crystal system: monoclinic
Density of states at the Fermi level in states/eV per atom: 0.247

Record 14
VASP calculation (PBE) on a relaxed structure of RbGaSnSb3.

Cell lengths 10.866, 3.684, 11.054 Å; angles 90.00, 111.15, 90.00 degrees
Space group P2_1/m (No. 11)
One atom of each set of equivalent atoms:
Rb: 0.232 0.250 0.260 (multiplicity 2)
Ga: 0.054 0.250 0.632 (multiplicity 2)
Sn: 0.337 0.750 0.922 (multiplicity 2)
Sb: 0.104 0.250 0.889 (multiplicity 2)
Sb: 0.199 0.750 0.551 (multiplicity 2)
Sb: 0.488 0.250 0.804 (multiplicity 2)

Values from the calculation:
Crystal system: monoclinic
DFT total energy in eV per cell: -41.70
Density of states at the Fermi level in states/eV per atom: 0.333

Record 15
VASP calculation (PBE) on a relaxed structure of AlHI2N.

Cell lengths 6.125, 6.125, 3.417 Å; angles 90.00, 90.00, 90.00 degrees
Space group P4/mmm (No. 123)
One atom of each set of equivalent atoms:
Al: 0.000 0.000 0.000 (multiplicity 1)
H: 0.500 0.500 0.500 (multiplicity 1)
I: 0.000 0.500 0.000 (multiplicity 2)
N: 0.000 0.000 0.500 (multiplicity 1)

Values from the calculation:
Crystal system: tetragonal
Energy above the lowest structure with this stoichiometry in meV/atom: 0
Density of states at the Fermi level in states/eV per atom: 0.605

Record 16
VASP calculation (PBE) on a relaxed structure of CaTm5Mg4.

Cell lengths 3.746, 3.746, 20.148 Å; angles 90.00, 90.00, 90.00 degrees
Space group P4/mmm (No. 123)
One atom of each set of equivalent atoms:
Ca: 0.000 0.000 0.000 (multiplicity 1)
Tm: 0.500 0.500 0.132 (multiplicity 2)
Tm: 0.500 0.500 0.313 (multiplicity 2)
Tm: 0.500 0.500 0.500 (multiplicity 1)
Mg: 0.000 0.000 0.223 (multiplicity 2)
Mg: 0.000 0.000 0.407 (multiplicity 2)

Values from the calculation:
ΔE_f in eV/atom: -0.011
Crystal system: tetragonal
Density of states at the Fermi level in states/eV per atom: 1.461

Record 17
VASP calculation (PBE) on a relaxed structure of UO4.

Cell lengths 4.166, 4.166, 4.166 Å; angles 90.00, 90.00, 90.00 degrees
Space group Pm-3m (No. 221)
One atom of each set of equivalent atoms:
U: 0.000 0.000 0.000 (multiplicity 1)
O: 0.000 0.000 0.500 (multiplicity 3)
O: 0.500 0.500 0.500 (multiplicity 1)

Values from the calculation:
Crystal system: cubic
Energy above the lowest structure with this stoichiometry in meV/atom: 138
Density of states at the Fermi level in states/eV per atom: 0.754

Record 18
VASP calculation (PBE) on a relaxed structure of Be2SeCl.

Cell lengths 3.211, 5.602, 8.987 Å; angles 90.00, 90.00, 90.00 degrees
Space group Cmm2 (No. 35)
One atom of each set of equivalent atoms:
Be: 0.000 0.000 0.000 (multiplicity 2)
Be: 0.000 0.500 0.225 (multiplicity 2)
Se: 0.000 0.000 0.383 (multiplicity 2)
Cl: 0.000 0.500 0.853 (multiplicity 2)

Values from the calculation:
Crystal system: orthorhombic
Energy above the lowest structure with this stoichiometry in meV/atom: 453
Density of states at the Fermi level in states/eV per atom: 0.429

Record 19
VASP calculation (PBE) on a relaxed structure of Y3Ge5.

Cell lengths 5.790, 17.441, 13.788 Å; angles 90.00, 90.00, 90.00 degrees
Space group Fdd2 (No. 43)
One atom of each set of equivalent atoms:
Y: 0.000 0.000 0.000 (multiplicity 8)
Y: 0.015 0.168 0.508 (multiplicity 16)
Ge: 0.000 0.000 0.448 (multiplicity 8)
Ge: 0.001 0.163 0.087 (multiplicity 16)
Ge: 0.063 0.186 0.904 (multiplicity 16)

Values from the calculation:
ΔE_f in eV/atom: -0.725
Crystal system: orthorhombic
Density of states at the Fermi level in states/eV per atom: 0.341

Record 20
VASP calculation (PBE) on a relaxed structure of TiCu2Au.

Cell lengths 3.186, 3.186, 5.824 Å; angles 90.00, 90.00, 90.00 degrees
Space group P4/mmm (No. 123)
One atom of each set of equivalent atoms:
Ti: 0.000 0.000 0.000 (multiplicity 1)
Cu: 0.500 0.500 0.244 (multiplicity 2)
Au: 0.000 0.000 0.500 (multiplicity 1)

Values from the calculation:
ΔE_f in eV/atom: -0.093
Crystal system: tetragonal
Energy above the lowest structure with this stoichiometry in meV/atom: 79
Density of states at the Fermi level in states/eV per atom: 0.786

Record 21
VASP calculation (PBE) on a relaxed structure of CdTeSe2N.

Cell lengths 5.437, 5.437, 3.957 Å; angles 90.00, 90.00, 90.00 degrees
Space group P4/mmm (No. 123)
One atom of each set of equivalent atoms:
Cd: 0.000 0.000 0.000 (multiplicity 1)
Te: 0.500 0.500 0.500 (multiplicity 1)
Se: 0.000 0.500 0.500 (multiplicity 2)
N: 0.500 0.500 0.000 (multiplicity 1)

Values from the calculation:
Crystal system: tetragonal
Energy above the lowest structure with this stoichiometry in meV/atom: 0
Density of states at the Fermi level in states/eV per atom: 0.520

Record 22
VASP calculation (PBE) on a relaxed structure of Ti3CdTe.

Cell lengths 5.001, 5.001, 5.001 Å; angles 90.00, 90.00, 90.00 degrees
Space group Pm-3m (No. 221)
One atom of each set of equivalent atoms:
Ti: 0.000 0.000 0.500 (multiplicity 3)
Cd: 0.500 0.500 0.500 (multiplicity 1)
Te: 0.000 0.000 0.000 (multiplicity 1)

Values from the calculation:
Crystal system: cubic
Energy above the lowest structure with this stoichiometry in meV/atom: 0
Density of states at the Fermi level in states/eV per atom: 1.528

Record 23
VASP calculation (PBE) on a relaxed structure of BaCr2Mo.

Cell lengths 3.2090, 3.2090, 28.6849 Å; angles 90.00, 90.00, 120.00 degrees
Space group R-3m (No. 166, hexagonal axes)
One atom of each set of equivalent atoms:
Ba: 0.0000 0.0000 0.0000 (multiplicity 3)
Cr: 0.0000 0.0000 0.2289 (multiplicity 6)
Mo: 0.0000 0.0000 0.5000 (multiplicity 3)

Values from the calculation:
ΔE_f in eV/atom: 1.050
Crystal system: trigonal
Energy above the lowest structure with this stoichiometry in meV/atom: 280
Density of states at the Fermi level in states/eV per atom: 1.147

Record 24
VASP calculation (PBE) on a relaxed structure of LiEr2Sn.

Cell lengths 4.853, 4.853, 4.239 Å; angles 90.00, 90.00, 90.00 degrees
Space group P4/mmm (No. 123)
One atom of each set of equivalent atoms:
Li: 0.000 0.000 0.000 (multiplicity 1)
Er: 0.000 0.500 0.500 (multiplicity 2)
Sn: 0.500 0.500 0.000 (multiplicity 1)

Values from the calculation:
ΔE_f in eV/atom: -0.401
Crystal system: tetragonal
Energy above the lowest structure with this stoichiometry in meV/atom: 0
Density of states at the Fermi level in states/eV per atom: 0.715

Record 25
VASP calculation (PBE) on a relaxed structure of InHgBr.

Cell lengths 4.7054, 4.7054, 5.6380 Å; angles 90.00, 90.00, 120.00 degrees
Space group P3m1 (No. 156)
One atom of each set of equivalent atoms:
In: 0.0000 0.0000 0.0000 (multiplicity 1)
Hg: 0.3333 0.6667 0.6899 (multiplicity 1)
Br: 0.6667 0.3333 0.2684 (multiplicity 1)

Values from the calculation:
Crystal system: trigonal
Energy above the lowest structure with this stoichiometry in meV/atom: 17